ReMoAu2 | GGA-PBE | relaxed

## Properties
Its total DFT energy (no corrections) is -7.09 eV/atom. The density of states at the Fermi level comes out at 2.7 states/eV/f.u. The value obtained for the formation energy is 0.37 eV/atom.

Cell lengths 9.501, 2.708, 5.151 Å; angles 90.00, 96.86, 90.00 degrees
Space group Cm (No. 8)
Symmetry-distinct sites (fractional):
1 Re 0.000 0.000 0.000 [2 per cell]
2 Mo 0.242 0.000 0.785 [2 per cell]
3 Au 0.242 0.500 0.272 [2 per cell]
4 Au 0.496 0.000 0.513 [2 per cell]